{
  "formula": "BeTlWCl2",
  "functional": "PBE",
  "state": "relaxed",
  "lattice_angstrom": [[4.196, 0.000, 0.000], [0.000, 6.295, 0.000], [0.000, 0.000, 4.196]],
  "species": ["Cl", "Cl", "W", "Tl", "Be"],
  "fractional_positions": [[0.000, 0.000, 0.500], [0.500, 0.000, 0.000], [0.000, 0.500, 0.000], [0.500, 0.500, 0.500], [0.000, 0.000, 0.000]],
  "space_group": "P4/mmm",
  "mass_density_g_cm3": 7.0,
  "final_energy_ev_per_atom": -3.847,
  "dos_ef_per_ev_fu": 1.5,
  "e_form_raw_ev_per_atom": 0.701,
  "total_magnetization_mub_per_cell": 2.98
}



{
  "formula": "SrAuBr4",
  "functional": "PBE",
  "state": "relaxed",
  "lattice_angstrom": [[-0.194, -1.966, 6.054], [-4.410, 2.323, 3.962], [-4.770, -3.720, 1.988]],
  "species": ["Sr", "Br", "Br", "Br", "Br", "Au"],
  "fractional_positions": [[0.750, 0.750, 0.750], [0.877, 0.374, 0.374], [0.374, 0.374, 0.877], [0.374, 0.877, 0.374], [0.374, 0.374, 0.374], [0.000, 0.000, 0.000]],
  "space_group": "F-43m",
  "mass_density_g_cm3": 5.5,
  "final_energy_ev_per_atom": -2.093,
  "dos_ef_per_ev_fu": 8.1,
  "e_form_raw_ev_per_atom": -0.151,
  "total_magnetization_mub_per_cell": 2.05
}



{
  "formula": "AcSmRuAu",
  "functional": "PBE",
  "state": "relaxed",
  "lattice_angstrom": [[-3.894, -3.416, -0.579], [-2.260, -2.111, 4.195], [-4.865, 1.349, 1.296]],
  "species": ["Au", "Sm", "Ru", "Ac"],
  "fractional_positions": [[0.750, 0.750, 0.750], [0.000, 0.000, 0.000], [0.250, 0.250, 0.250], [0.500, 0.500, 0.500]],
  "space_group": "F-43m",
  "mass_density_g_cm3": 11.2,
  "final_energy_ev_per_atom": -5.723,
  "dos_ef_per_ev_fu": 2.3,
  "total_magnetization_mub_per_cell": 0.00,
  "formation_energy_ev_per_atom": -0.378
}